Entry from Alexandria via LeMat-Bulk: a relaxed SnBi2Pd2 crystal (PBE-GGA).

Summary:
**Excess energy over the best structure of this formula in the dataset**: 0.0000 eV per atom
**Energy of formation**: -0.270 eV/atom

Lattice parameters (Å, degrees): 6.8440 6.8257 10.2823 90.00 90.00 90.00
Last column: nearest neighbours and their distance in Å.
Fractional positions:
Sn: 0.4969 0.2487 0.3351  6 Pd 2.85-3.07
Sn: 0.5031 0.7513 0.6649  6 Pd 2.85-3.07
Sn: 0.9969 0.2513 0.3351  6 Pd 2.85-3.07
Sn: 0.0031 0.7487 0.6649  6 Pd 2.85-3.07
Bi: 0.5004 0.2508 0.9985  4 Pd 2.91-3.07
Bi: 0.0004 0.2492 0.9985  4 Pd 2.91-3.07
Bi: 0.9996 0.7508 0.0015  4 Pd 2.91-3.07
Bi: 0.4996 0.7492 0.0015  4 Pd 2.91-3.07
Bi: 0.9951 0.7442 0.3306  6 Pd 2.91-3.09
Bi: 0.4951 0.7558 0.3306  6 Pd 2.91-3.09
Bi: 0.5049 0.2442 0.6694  6 Pd 2.91-3.09
Bi: 0.0049 0.2558 0.6694  6 Pd 2.91-3.09
Pd: 0.7503 0.0219 0.1711  2 Sn 2.85-2.87, 6 Bi 2.91-3.07
Pd: 0.2503 0.4781 0.1711  2 Sn 2.85-2.87, 6 Bi 2.91-3.07
Pd: 0.7497 0.5219 0.8289  2 Sn 2.85-2.87, 6 Bi 2.91-3.07
Pd: 0.2497 0.9781 0.8289  2 Sn 2.85-2.87, 6 Bi 2.91-3.07
Pd: 0.7386 0.5001 0.4895  4 Sn 2.86-3.07, 4 Bi 2.91-3.09
Pd: 0.2386 0.9999 0.4895  4 Sn 2.86-3.07, 4 Bi 2.91-3.09
Pd: 0.7614 0.0001 0.5105  4 Sn 2.86-3.07, 4 Bi 2.91-3.09
Pd: 0.2614 0.4999 0.5105  4 Sn 2.86-3.07, 4 Bi 2.91-3.09